Entry 1:
Below is a geometry-optimized KTl2B structure, with properties calculated at the PBE level.

Cell: 5.2520 5.2520 5.2520 Å, 60.00 60.00 60.00°
With the nearest neighbours (Å) after each atom.
Sites, in units of the cell vectors:
K: 0.0000 0.0000 0.0000  8 Tl 3.22
Tl: 0.2500 0.2500 0.2500  4 B 3.22, 4 K 3.22
Tl: 0.7500 0.7500 0.7500  4 B 3.22, 4 K 3.22
B: 0.5000 0.5000 0.5000  8 Tl 3.22

Its calculated formation energy is 0.93 eV per atom. For the spin magnetization, the calculation gives 0.0 μB/f.u. The total energy comes out at -8.79 eV/cell. Its density of states at the Fermi level is 0.29 states/eV/f.u.

***

Entry 2:
Below is a geometry-optimized KTl3B structure, with properties calculated at the PBE level.

Cell: 6.2024 6.2024 6.2024 Å, 90.00 90.00 90.00°
With the nearest neighbours (Å) after each atom.
Sites, in units of the cell vectors:
K: 0.0000 0.0000 0.0000  6 Tl 3.10
Tl: 0.0000 0.0000 0.5000  2 K 3.10
Tl: 0.0000 0.5000 0.0000  2 K 3.10
Tl: 0.5000 0.0000 0.0000  2 K 3.10
B: 0.5000 0.5000 0.5000  12 Tl 4.39

Its calculated formation energy is 1.63 eV per atom. For the spin magnetization, the calculation gives 1.0 μB/f.u. The total energy comes out at -6.72 eV/cell. Its density of states at the Fermi level is 6.98 states/eV/f.u.

***

Entry 3:
Below is a geometry-optimized K2TlB structure, with properties calculated at the PBE level.

Cell: 9.1896 9.1896 9.1896 Å, 93.07 93.07 153.24°
With the nearest neighbours (Å) after each atom.
Sites, in units of the cell vectors:
K: 0.3750 0.1684 0.2934  2 B 3.25, 2 Tl 3.58
K: 0.8316 0.1250 0.2066  2 B 3.25, 2 Tl 3.58
K: 0.8750 0.0816 0.7066  2 B 3.25, 2 Tl 3.58
K: 0.9184 0.6250 0.7934  2 B 3.25, 2 Tl 3.58
Tl: 0.2500 0.7500 0.5000  2 B 2.13
Tl: 0.5000 0.5000 0.0000  2 B 2.13
B: 0.0000 0.0000 0.0000  2 Tl 2.13
B: 0.7500 0.2500 0.5000  2 Tl 2.13

Its calculated formation energy is 0.54 eV per atom. For the spin magnetization, the calculation gives 0.0 μB/f.u. The total energy comes out at -18.18 eV/cell. Its density of states at the Fermi level is 1.28 states/eV/f.u.

***

Entry 4:
Below is a geometry-optimized K2TlB2 structure, with properties calculated at the PBE level.

Cell: 6.9654 6.9654 6.9654 Å, 126.49 126.49 79.09°
With the nearest neighbours (Å) after each atom.
Sites, in units of the cell vectors:
K: 0.2500 0.7500 0.5000  4 B 3.19
K: 0.7500 0.2500 0.5000  4 B 3.19
Tl: 0.0000 0.0000 0.0000  2 B 2.11
B: 0.1968 0.1968 0.0000  1 Tl 2.11
B: 0.8032 0.8032 0.0000  1 Tl 2.11

Its calculated formation energy is 1.36 eV per atom. For the spin magnetization, the calculation gives 1.0 μB/f.u. The total energy comes out at -11.11 eV/cell. Its density of states at the Fermi level is 0.11 states/eV/f.u.

***

Entry 5:
Below is a geometry-optimized KTlB2 structure, with properties calculated at the PBE level.

Cell: 4.7438 4.7438 4.7438 Å, 60.00 60.00 60.00°
With the nearest neighbours (Å) after each atom.
Sites, in units of the cell vectors:
K: 0.0000 0.0000 0.0000  8 B 2.90
Tl: 0.5000 0.5000 0.5000  8 B 2.90
B: 0.2500 0.2500 0.2500  4 Tl 2.90, 4 K 2.90
B: 0.7500 0.7500 0.7500  4 Tl 2.90, 4 K 2.90

Its calculated formation energy is 1.68 eV per atom. For the spin magnetization, the calculation gives 0.0 μB/f.u. The total energy comes out at -10.08 eV/cell. Its density of states at the Fermi level is 0.50 states/eV/f.u.

***

Entry 6:
Below is a geometry-optimized K2Tl2B structure, with properties calculated at the PBE level.

Cell: 8.8166 8.8166 8.8166 Å, 149.47 149.47 43.72°
With the nearest neighbours (Å) after each atom.
Sites, in units of the cell vectors:
K: 0.2500 0.7500 0.5000  4 K 3.28, 4 Tl 3.53
K: 0.7500 0.2500 0.5000  4 K 3.28, 4 Tl 3.53
Tl: 0.0878 0.0878 0.0000  1 Tl 2.87
Tl: 0.9122 0.9122 0.0000  1 Tl 2.87
B: 0.5000 0.5000 0.0000  8 Tl 3.58

Its calculated formation energy is 1.13 eV per atom. For the spin magnetization, the calculation gives 0.0 μB/f.u. The total energy comes out at -7.97 eV/cell. Its density of states at the Fermi level is 4.27 states/eV/f.u.

***

Entry 7:
Below is a geometry-optimized K2TlB structure, with properties calculated at the PBE level.

Cell: 5.6518 5.6518 5.6518 Å, 60.00 60.00 60.00°
With the nearest neighbours (Å) after each atom.
Sites, in units of the cell vectors:
K: 0.2500 0.2500 0.2500  4 Tl 3.46, 4 B 3.46
K: 0.7500 0.7500 0.7500  4 B 3.46, 4 Tl 3.46
Tl: 0.0000 0.0000 0.0000  8 K 3.46
B: 0.5000 0.5000 0.5000  8 K 3.46

Its calculated formation energy is 1.01 eV per atom. For the spin magnetization, the calculation gives 0.0 μB/f.u. The total energy comes out at -7.20 eV/cell. Its density of states at the Fermi level is 3.86 states/eV/f.u.

***

Entry 8:
Below is a geometry-optimized KTlB3 structure, with properties calculated at the PBE level.

Cell: 5.1468 5.1468 5.1468 Å, 90.00 90.00 90.00°
With the nearest neighbours (Å) after each atom.
Sites, in units of the cell vectors:
K: 0.0000 0.0000 0.0000  6 B 2.57
Tl: 0.5000 0.5000 0.5000  12 B 3.64
B: 0.0000 0.0000 0.5000  2 K 2.57
B: 0.0000 0.5000 0.0000  2 K 2.57
B: 0.5000 0.0000 0.0000  2 K 2.57

Its calculated formation energy is 3.02 eV per atom. For the spin magnetization, the calculation gives 1.2 μB/f.u. The total energy comes out at -8.38 eV/cell. Its density of states at the Fermi level is 6.83 states/eV/f.u.

***

Energy above the most stable polymorph in this dataset, record by record: 0.339; 1.094; 0.000; 0.555; 0.356; 0.523; 0.473; 0.829 eV/atom